Record 1
Tc4Os after structural relaxation. Source: Alexandria via LeMat-Bulk, functional GGA-PBEsol.

Cell: 6.047 6.047 3.833 Å, 90.00 90.00 90.00°
Space group I4/m (No. 87)
Symmetry-distinct sites (fractional):
Tc1 0.103 0.299 0.000 x8
Os1 0.000 0.000 0.500 x2

DFT total energy = -11.398 eV/atom
D(E_F) = 1.0901 states/eV/atom
DFT formation energy = 0.29 eV/f.u.

---

Record 2
CrSbPb2 after structural relaxation. Source: Alexandria via LeMat-Bulk, functional GGA-PBEsol.

Cell: 3.406 4.167 14.492 Å, 90.00 90.00 90.00°
Space group Immm (No. 71)
Symmetry-distinct sites (fractional):
Cr1 0.000 0.000 0.000 x2
Sb1 0.000 0.000 0.500 x2
Pb1 0.000 0.500 0.323 x4

ΔE_f (raw) = 299 meV per atom
DFT total energy = -5.400 eV/atom
D(E_F) = 0.7011 states/eV/atom

---

Record 3
Ta3TiN after structural relaxation. Source: Alexandria via LeMat-Bulk, functional GGA-PBEsol.

Cell: 4.233 4.233 4.233 Å, 90.00 90.00 90.00°
Space group Pm-3m (No. 221)
Symmetry-distinct sites (fractional):
Ta1 0.000 0.000 0.500 x3
Ti1 0.500 0.500 0.500 x1
N1 0.000 0.000 0.000 x1

ΔE_f (raw) = -558 meV per atom
DFT total energy = -11.458 eV/atom
D(E_F) = 0.8355 states/eV/atom

---

Record 4
CaTl2Pb after structural relaxation. Source: Alexandria via LeMat-Bulk, functional GGA-PBEsol.

Cell: 7.699 7.699 7.699 Å, 90.00 90.00 90.00°
Space group F-43m (No. 216)
Symmetry-distinct sites (fractional):
Ca1 0.000 0.000 0.000 x4
Tl1 0.000 0.000 0.500 x4
Tl2 0.250 0.250 0.750 x4
Pb1 0.250 0.250 0.250 x4

DFT total energy = -3.085 eV/atom
D(E_F) = 0.3910 states/eV/atom
DFT formation energy = -0.95 eV/f.u.

---

Q: What is the formula in the first record?
A: Tc4Os

---

Q: Which of these has the highest DFT total energy?
A: CaTl2Pb

---

Q: Which formula does entry 3 have?
A: Ta3TiN